Entry 1:
Ac12Tl5Pt2: optimized geometry, PBE-GGA.

Cell: 10.2979 10.2979 9.9187 Å, 108.18 108.18 50.17°
With the nearest neighbours (Å) after each atom.
Fractional positions:
Ac  0.0216  0.0216  0.3167  2 Pt 3.00
Ac  0.0640  0.5894  0.3221  1 Pt 3.11, 1 Tl 3.43
Ac  0.0903  0.6594  0.9344  3 Tl 3.32-3.46
Ac  0.3406  0.9097  0.0656  3 Tl 3.32-3.46
Ac  0.4106  0.9360  0.6779  1 Pt 3.11, 1 Tl 3.43
Ac  0.4381  0.4381  0.6462  2 Pt 3.02, 1 Tl 3.30
Ac  0.5619  0.5619  0.3538  2 Pt 3.02, 1 Tl 3.30
Ac  0.5894  0.0640  0.3221  1 Pt 3.11, 1 Tl 3.43
Ac  0.6594  0.0903  0.9344  3 Tl 3.32-3.46
Ac  0.9097  0.3406  0.0656  3 Tl 3.32-3.46
Ac  0.9360  0.4106  0.6779  1 Pt 3.11, 1 Tl 3.43
Ac  0.9784  0.9784  0.6833  2 Pt 3.00
Tl  0.2160  0.2160  0.4174  7 Ac 3.41-3.81
Tl  0.2597  0.2597  0.9820  6 Ac 3.42-3.56
Tl  0.5000  0.5000  0.0000  6 Ac 3.30-3.32
Tl  0.7403  0.7403  0.0180  6 Ac 3.42-3.56
Tl  0.7840  0.7840  0.5826  7 Ac 3.41-3.81
Pt  0.2561  0.7439  0.5000  6 Ac 3.00-3.11
Pt  0.7439  0.2561  0.5000  6 Ac 3.00-3.11

Properties
The total energy is -4.192 eV per atom. The symmetry is No. 12.



Entry 2:
Li3P6Pd20: optimized geometry, PBE-GGA.

Cell: 8.5390 8.5390 8.5390 Å, 60.00 60.00 60.00°
With the nearest neighbours (Å) after each atom.
Fractional positions:
Li  0.0000  0.0000  0.0000  12 Pd 2.93, 6 P 3.20
Li  0.2500  0.2500  0.2500  4 Pd 2.77
Li  0.7500  0.7500  0.7500  4 Pd 2.77
P  0.2646  0.2646  0.7354  8 Pd 2.36-2.46
P  0.2646  0.7354  0.2646  8 Pd 2.36-2.46
P  0.2646  0.7354  0.7354  8 Pd 2.36-2.46
P  0.7354  0.2646  0.2646  8 Pd 2.36-2.46
P  0.7354  0.2646  0.7354  8 Pd 2.36-2.46
P  0.7354  0.7354  0.2646  8 Pd 2.36-2.46
Pd  0.0000  0.0000  0.3427  2 P 2.36
Pd  0.0000  0.0000  0.6573  2 P 2.36
Pd  0.0000  0.3427  0.0000  2 P 2.36
Pd  0.0000  0.3427  0.6573  2 P 2.36
Pd  0.0000  0.6573  0.0000  2 P 2.36
Pd  0.0000  0.6573  0.3427  2 P 2.36
Pd  0.1474  0.6175  0.6175  3 P 2.46
Pd  0.3427  0.0000  0.0000  2 P 2.36
Pd  0.3427  0.0000  0.6573  2 P 2.36
Pd  0.3427  0.6573  0.0000  2 P 2.36
Pd  0.3825  0.3825  0.3825  3 P 2.46
Pd  0.3825  0.3825  0.8526  3 P 2.46
Pd  0.3825  0.8526  0.3825  3 P 2.46
Pd  0.6175  0.1474  0.6175  3 P 2.46
Pd  0.6175  0.6175  0.1474  3 P 2.46
Pd  0.6175  0.6175  0.6175  3 P 2.46
Pd  0.6573  0.0000  0.0000  2 P 2.36
Pd  0.6573  0.0000  0.3427  2 P 2.36
Pd  0.6573  0.3427  0.0000  2 P 2.36
Pd  0.8526  0.3825  0.3825  3 P 2.46

Properties
The total energy is -5.431 eV per atom. The symmetry is No. 225.



Entry 3:
La4ZnW: optimized geometry, PBE-GGA.

Cell: 6.2367 6.2367 6.2367 Å, 60.00 60.00 60.00°
With the nearest neighbours (Å) after each atom.
Fractional positions:
La  0.1237  0.1237  0.1237  6 La 3.09-3.15
La  0.1237  0.1237  0.6290  6 La 3.09-3.15
La  0.1237  0.6290  0.1237  6 La 3.09-3.15
La  0.6290  0.1237  0.1237  6 La 3.09-3.15
Zn  0.5000  0.5000  0.5000  12 La 3.66, 4 W 3.82
W  0.7500  0.7500  0.7500  12 La 3.65, 4 Zn 3.82

Properties
The total energy is -4.684 eV per atom. The symmetry is No. 216.



Entry 4:
BaTcPAu: optimized geometry, PBE-GGA.

Cell: 4.0418 4.0418 11.6206 Å, 90.00 90.00 90.00°
With the nearest neighbours (Å) after each atom.
Fractional positions:
Ba  0.2500  0.2500  0.2391  4 P 3.36, 4 Au 3.44, 4 Tc 3.64
Ba  0.7500  0.7500  0.7609  4 P 3.36, 4 Au 3.44, 4 Tc 3.64
Tc  0.2500  0.7500  0.5000  4 P 2.39
Tc  0.7500  0.2500  0.5000  4 P 2.39
P  0.2500  0.2500  0.6094  4 Tc 2.39
P  0.7500  0.7500  0.3906  4 Tc 2.39
Au  0.2500  0.7500  0.0000  4 Au 2.86
Au  0.7500  0.2500  0.0000  4 Au 2.86

Properties
The total energy is -5.906 eV per atom. The symmetry is No. 129.